*i*
# Mo2PbS

A geometry-optimized Mo2PbS structure (PBE, the Alexandria database).

For the magnetic moment, the calculation gives 0.00 μB/f.u.

The space group is I-42d (No. 122) and the conventional cell measures 4.330, 4.330 and 17.403 Å, with angles of 90.00, 90.00 and 90.00 degrees. The asymmetric unit holds Mo at (0.151, 0.250, 0.125), Pb at (0.000, 0.000, 0.500) and S at (0.000, 0.000, 0.000).

*ii*
# Mo2PbS

A geometry-optimized Mo2PbS structure (PBE, the Alexandria database).

For the magnetic moment, the calculation gives 0.00 μB/f.u.

The space group is Fm-3m (No. 225) and the conventional cell measures 6.487, 6.487 and 6.487 Å, with angles of 90.00, 90.00 and 90.00 degrees. The asymmetric unit holds Mo at (0.250, 0.250, 0.250), Pb at (0.000, 0.000, 0.000) and S at (0.000, 0.000, 0.500).

Stability summary - winner: *i*; margin: 132 meV/atom.

*i*
# MoPb3S

A geometry-optimized MoPb3S structure (PBE, the Alexandria database).

For the magnetic moment, the calculation gives 4.32 μB/f.u.

The space group is Pm-3m (No. 221) and the conventional cell measures 5.461, 5.461 and 5.461 Å, with angles of 90.00, 90.00 and 90.00 degrees. The asymmetric unit holds Mo at (0.000, 0.000, 0.000), Pb at (0.000, 0.500, 0.500) and S at (0.500, 0.500, 0.500).

*ii*
# MoPb3S

A geometry-optimized MoPb3S structure (PBE, the Alexandria database).

For the magnetic moment, the calculation gives 1.91 μB/f.u.

The space group is Pm-3m (No. 221) and the conventional cell measures 5.379, 5.379 and 5.379 Å, with angles of 90.00, 90.00 and 90.00 degrees. The asymmetric unit holds Mo at (0.000, 0.000, 0.000), Pb at (0.000, 0.000, 0.500) and S at (0.500, 0.500, 0.500).

Stability summary - winner: *ii*; margin: 357 meV/atom.

*i*
# SbMo2Pb

A geometry-optimized SbMo2Pb structure (PBE, the Alexandria database).

For the magnetic moment, the calculation gives 0.00 μB/f.u.

The space group is Cm (No. 8) and the conventional cell measures 10.143, 3.288 and 5.220 Å, with angles of 90.00, 111.07 and 90.00 degrees. The asymmetric unit holds Sb at (0.000, 0.000, 0.000), Mo at (0.051, 0.500, 0.526), Mo at (0.238, 0.000, 0.837) and Pb at (0.288, 0.500, 0.362).

*ii*
# SbMo2Pb

A geometry-optimized SbMo2Pb structure (PBE, the Alexandria database).

For the magnetic moment, the calculation gives 0.00 μB/f.u.

The space group is Cmm2 (No. 35) and the conventional cell measures 3.516, 4.938 and 10.296 Å, with angles of 90.00, 90.00 and 90.00 degrees. The asymmetric unit holds Sb at (0.000, 0.000, 0.000), Mo at (0.000, 0.000, 0.596), Mo at (0.000, 0.500, 0.781) and Pb at (0.000, 0.500, 0.354).

*iii*
# SbMo2Pb

A geometry-optimized SbMo2Pb structure (PBE, the Alexandria database).

For the magnetic moment, the calculation gives 0.00 μB/f.u.

The space group is F-43m (No. 216) and the conventional cell measures 6.841, 6.841 and 6.841 Å, with angles of 90.00, 90.00 and 90.00 degrees. The asymmetric unit holds Sb at (0.000, 0.000, 0.000), Mo at (0.000, 0.000, 0.500), Mo at (0.250, 0.250, 0.750) and Pb at (0.250, 0.250, 0.250).

Stability summary - winner: *ii*; margin: 59 meV/atom.

*i*
# SbMoPb3

A geometry-optimized SbMoPb3 structure (PBE, the Alexandria database).

For the magnetic moment, the calculation gives 2.63 μB/f.u.

The space group is Pm-3m (No. 221) and the conventional cell measures 5.444, 5.444 and 5.444 Å, with angles of 90.00, 90.00 and 90.00 degrees. The asymmetric unit holds Sb at (0.000, 0.000, 0.000), Mo at (0.500, 0.500, 0.500) and Pb at (0.000, 0.500, 0.500).

*ii*
# SbMoPb3

A geometry-optimized SbMoPb3 structure (PBE, the Alexandria database).

For the magnetic moment, the calculation gives 4.37 μB/f.u.

The space group is Pm-3m (No. 221) and the conventional cell measures 5.855, 5.855 and 5.855 Å, with angles of 90.00, 90.00 and 90.00 degrees. The asymmetric unit holds Sb at (0.000, 0.000, 0.000), Mo at (0.500, 0.500, 0.500) and Pb at (0.000, 0.000, 0.500).

Stability summary - winner: *i*; margin: 780 meV/atom.

*i*
# SbMoPb

A geometry-optimized SbMoPb structure (PBE, the Alexandria database).

For the magnetic moment, the calculation gives 0.13 μB/f.u.

The space group is P3m1 (No. 156) and the conventional cell measures 3.4248, 3.4248 and 6.8970 Å, with angles of 90.00, 90.00 and 120.00 degrees. The asymmetric unit holds Sb at (0.0000, 0.0000, 0.0000), Mo at (0.6667, 0.3333, 0.2707) and Pb at (0.3333, 0.6667, 0.5886).

*ii*
# SbMoPb

A geometry-optimized SbMoPb structure (PBE, the Alexandria database).

For the magnetic moment, the calculation gives 0.00 μB/f.u.

The space group is I4mm (No. 107) and the conventional cell measures 3.545, 3.545 and 10.805 Å, with angles of 90.00, 90.00 and 90.00 degrees. The asymmetric unit holds Sb at (0.000, 0.000, 0.000), Mo at (0.000, 0.000, 0.385) and Pb at (0.000, 0.000, 0.711).

Stability summary - winner: *i*; margin: 39 meV/atom.

*i*
# Sc2Mo2Pb

A geometry-optimized Sc2Mo2Pb structure (PBE, the Alexandria database).

For the magnetic moment, the calculation gives 0.00 μB/f.u.

The space group is I4/mmm (No. 139) and the conventional cell measures 4.304, 4.304 and 12.216 Å, with angles of 90.00, 90.00 and 90.00 degrees. The asymmetric unit holds Sc at (0.000, 0.500, 0.250), Mo at (0.000, 0.000, 0.090) and Pb at (0.000, 0.000, 0.500).

*ii*
# Sc2Mo2Pb

A geometry-optimized Sc2Mo2Pb structure (PBE, the Alexandria database).

For the magnetic moment, the calculation gives 0.00 μB/f.u.

The space group is P4/mbm (No. 127) and the conventional cell measures 7.676, 7.676 and 3.544 Å, with angles of 90.00, 90.00 and 90.00 degrees. The asymmetric unit holds Sc at (0.188, 0.312, 0.000), Mo at (0.103, 0.603, 0.500) and Pb at (0.000, 0.000, 0.500).

Stability summary - winner: *ii*; margin: 657 meV/atom.